(1)
PCl3F | Alexandria | GGA-PBE | optimized geometry; density = 1.65 g cm⁻³; space-group type = Cmc2_1, No. 36; DFT total energy = -3.480 eV/atom; ΔE_f (raw) = -88.4 kJ/mol of atoms
1.0
-2.2811 -5.6509 -0.4570
7.6615 -3.0312 -0.7613
-3.4728 0.8727 6.5430
Cl P F
6 2 2
direct
0.8456 0.5593 0.7306 Cl
0.8725 0.1364 0.2728 Cl
0.3456 0.4407 0.2694 Cl
0.3725 0.8636 0.7272 Cl
0.8456 0.1713 0.7306 Cl
0.3456 0.8287 0.2694 Cl
0.5061 0.6953 0.3905 P
0.0061 0.3047 0.6095 P
0.2156 0.3867 0.7735 F
0.7156 0.6133 0.2265 F

=====

(2)
TbSm2Co | Alexandria | GGA-PBE | optimized geometry; density = 7.99 g cm⁻³; space-group type = Cmcm, No. 63; DFT total energy = -5.380 eV/atom
1.0
3.7191 -0.1430 0.0000
-1.6311 6.0266 0.0000
0.0000 0.0000 9.7120
Tb Sm Co
2 4 2
direct
0.5895 0.1794 0.7500 Tb
0.4105 0.8206 0.2500 Tb
0.8621 0.7232 0.5726 Sm
0.8621 0.7232 0.9274 Sm
0.1379 0.2768 0.0726 Sm
0.1379 0.2768 0.4274 Sm
0.2612 0.5220 0.7500 Co
0.7388 0.4780 0.2500 Co

=====

(3)
CuOsBr2 | Alexandria | GGA-PBE | optimized geometry; density = 8.77 g cm⁻³; space-group type = F-43m, No. 216; DFT total energy = -3.140 eV/atom; ΔE_f (raw) = 147.4 kJ/mol of atoms
1.0
4.8021 0.0000 0.0000
2.4010 4.1587 0.0000
2.4010 1.3862 3.9209
Br Os Cu
2 1 1
direct
0.0000 0.0000 0.0000 Br
0.2500 0.2500 0.2500 Br
0.7500 0.7500 0.7500 Os
0.5000 0.5000 0.5000 Cu

=====

(4)
ScCo | Alexandria | GGA-PBE | optimized geometry; density = 5.58 g cm⁻³; space-group type = I4_1/amd, No. 141; DFT total energy = -6.847 eV/atom
1.0
3.6388 0.0000 0.0000
0.0000 3.6388 0.0000
1.8194 1.8194 4.6683
Co Sc
2 2
direct
0.7500 0.2500 0.5000 Co
0.0000 0.0000 0.0000 Co
0.2500 0.7500 0.5000 Sc
0.5000 0.5000 0.0000 Sc

=====

(5)
RbTlHgS2 | Alexandria | GGA-PBE | optimized geometry; density = 4.84 g cm⁻³; space-group type = P2/c, No. 13; DFT total energy = -2.911 eV/atom; ΔE_f (raw) = -51.5 kJ/mol of atoms
1.0
-5.5715 2.2387 -0.8177
-2.9092 -6.3611 2.4060
-0.0609 2.7809 8.0282
Rb S Tl Hg
2 4 2 2
direct
0.1574 0.5000 0.7500 Rb
0.8426 0.5000 0.2500 Rb
0.7716 0.7621 0.9200 S
0.7716 0.2379 0.5800 S
0.2284 0.7621 0.4200 S
0.2284 0.2379 0.0800 S
0.5323 0.0000 0.2500 Tl
0.4677 0.0000 0.7500 Tl
0.0000 0.0000 0.5000 Hg
0.0000 0.0000 0.0000 Hg

=====

(6)
MnAlOs | Alexandria | GGA-PBE | optimized geometry; density = 10.83 g cm⁻³; space-group type = Fmm2, No. 42; DFT total energy = -8.008 eV/atom
1.0
-4.0550 5.2667 -0.1052
-5.1569 3.4763 1.5951
1.3181 2.0154 1.2295
Os Mn Al
1 1 1
direct
0.6680 0.6680 0.3320 Os
0.3337 0.3337 0.6663 Mn
0.9982 0.9982 0.0018 Al

=====

(7)
SrAl2Tc2 | Alexandria | GGA-PBE | optimized geometry; density = 5.50 g cm⁻³; space-group type = I4/mmm, No. 139; DFT total energy = -5.927 eV/atom
1.0
4.6307 0.0000 0.0000
0.0000 4.6307 0.0000
2.3153 2.3153 4.7509
Tc Al Sr
2 2 1
direct
0.6212 0.6212 0.7575 Tc
0.3788 0.3788 0.2425 Tc
0.2500 0.7500 0.5000 Al
0.7500 0.2500 0.5000 Al
0.0000 0.0000 0.0000 Sr

=====

(8)
K2SmMnSe4 | Alexandria | GGA-PBE | optimized geometry; density = 4.42 g cm⁻³; space-group type = Imma, No. 74; DFT total energy = -4.896 eV/atom; ΔE_f (raw) = -110.3 kJ/mol of atoms
1.0
8.6649 -0.1806 -0.2090
-0.1866 8.6648 -0.2090
-4.2936 -4.2966 6.2090
Se Mn Sm K
8 2 2 4
direct
0.7590 0.7411 0.9374 Se
0.2411 0.2590 0.4374 Se
0.2378 0.7228 0.4803 Se
0.7589 0.7410 0.5626 Se
0.7772 0.2622 0.0197 Se
0.2410 0.2589 0.0626 Se
0.7622 0.2772 0.5197 Se
0.2228 0.7378 0.9803 Se
0.0001 0.0000 0.0001 Mn
0.5000 0.4999 0.4999 Mn
0.0000 0.5000 0.5000 Sm
0.0000 0.5000 0.0000 Sm
0.5000 0.0000 0.0000 K
0.5000 0.0000 0.5000 K
0.5000 0.5000 0.0000 K
0.0000 0.0000 0.5000 K

=====

What did the sixth record say?
MnAlOs | Alexandria | GGA-PBE | optimized geometry; density = 10.83 g cm⁻³; space-group type = Fmm2, No. 42; DFT total energy = -8.008 eV/atom
1.0
-4.0550 5.2667 -0.1052
-5.1569 3.4763 1.5951
1.3181 2.0154 1.2295
Os Mn Al
1 1 1
direct
0.6680 0.6680 0.3320 Os
0.3337 0.3337 0.6663 Mn
0.9982 0.9982 0.0018 Al